Entry from Alexandria via LeMat-Bulk: a geometry-optimized ZrMnW2 structure (PBE).

Cell: 3.166 3.166 6.471 Å, 90.00 90.00 90.00°
Sites, in units of the cell vectors:
Zr1 0.000 0.000 0.510
Mn1 0.500 0.500 0.769
W1 0.500 0.500 0.230
W2 0.000 0.000 0.990

Calculated values
Energy above the lowest structure with this stoichiometry (meV per atom): 0
Uncorrected energy (eV per atom): -10.84
Volume (Å³ per cell): 64.9